Ag2PRh after structural relaxation. Source: the Alexandria database, functional PBE.

energy	-50.86	eV for the cell shown
DFT formation energy	0.378	eV/atom
Fermi-level density of states	4.72	states/eV/f.u.
crystal system	trigonal

a b c (Å): 2.892 2.892 26.825
angles (deg): 90.00 90.00 120.00
Element x y z (fractional)
1 Ag 0.000 0.000 0.247
2 Ag 0.000 0.000 0.753
3 Ag 0.333 0.667 0.419
4 Ag 0.333 0.667 0.914
5 Ag 0.667 0.333 0.086
6 Ag 0.667 0.333 0.581
7 P 0.000 0.000 0.500
8 P 0.333 0.667 0.167
9 P 0.667 0.333 0.833
10 Rh 0.000 0.000 0.000
11 Rh 0.333 0.667 0.667
12 Rh 0.667 0.333 0.333